1.
The following is a GGA-PBE calculation of crystalline NbFe at its relaxed geometry, from Alexandria via LeMat-Bulk.

Values from the calculation:
* DFT formation energy: 1.42 eV/atom
* mass density: 5.39 Mg/m³

Cell and atoms, written as CIF:
```
data_NbFe
_cell_length_a 7.159
_cell_length_b 7.159
_cell_length_c 7.159
_cell_angle_alpha 90.00
_cell_angle_beta 90.00
_cell_angle_gamma 90.00
_symmetry_space_group_name_H-M 'I -4 3 m'
_symmetry_Int_Tables_number 217
_symmetry_space_group_name_Hall 'I -4 2 3'
loop_
_atom_site_label
_atom_site_type_symbol
_atom_site_fract_x
_atom_site_fract_y
_atom_site_fract_z
Nb1 Nb 0.197 0.197 0.803
Fe1 Fe 0.124 0.124 0.124
```

2.
The following is a GGA-PBE calculation of crystalline Cd2CoRh at its relaxed geometry, from Alexandria via LeMat-Bulk.

Values from the calculation:
* DFT formation energy: 0.17 eV/atom
* mass density: 9.55 Mg/m³

Cell and atoms, written as CIF:
```
data_Cd2CoRh
_cell_length_a 2.8704
_cell_length_b 2.8704
_cell_length_c 28.2770
_cell_angle_alpha 90.00
_cell_angle_beta 90.00
_cell_angle_gamma 120.00
_symmetry_space_group_name_H-M 'R 3 m'
_symmetry_Int_Tables_number 160
_symmetry_space_group_name_Hall 'R 3 -2"'
loop_
_atom_site_label
_atom_site_type_symbol
_atom_site_fract_x
_atom_site_fract_y
_atom_site_fract_z
Cd1 Cd 0.0000 0.0000 0.0000
Cd2 Cd 0.0000 0.0000 0.2317
Co1 Co 0.0000 0.0000 0.4846
Rh1 Rh 0.0000 0.0000 0.7506
```

3.
The following is a GGA-PBE calculation of crystalline Ti2InPtPb at its relaxed geometry, from Alexandria via LeMat-Bulk.

Values from the calculation:
* DFT formation energy: 0.15 eV/atom
* mass density: 8.29 Mg/m³

Cell and atoms, written as CIF:
```
data_Ti2InPtPb
_cell_length_a 4.925
_cell_length_b 4.925
_cell_length_c 5.059
_cell_angle_alpha 90.00
_cell_angle_beta 90.00
_cell_angle_gamma 90.00
_symmetry_space_group_name_H-M 'P 4/m m m'
_symmetry_Int_Tables_number 123
_symmetry_space_group_name_Hall '-P 4 2'
loop_
_atom_site_label
_atom_site_type_symbol
_atom_site_fract_x
_atom_site_fract_y
_atom_site_fract_z
Ti1 Ti 0.000 0.500 0.000
In1 In 0.000 0.000 0.500
Pt1 Pt 0.000 0.000 0.000
Pb1 Pb 0.500 0.500 0.500
```

4.
The following is a GGA-PBE calculation of crystalline Sr2BeAsO at its relaxed geometry, from Alexandria via LeMat-Bulk.

Values from the calculation:
* uncorrected formation energy: -1.509 eV/atom
* mass density: 4.45 Mg/m³

Cell and atoms, written as CIF:
```
data_Sr2BeAsO
_cell_length_a 6.402
_cell_length_b 3.902
_cell_length_c 8.745
_cell_angle_alpha 90.00
_cell_angle_beta 109.99
_cell_angle_gamma 90.00
_symmetry_space_group_name_H-M 'P 1 21/m 1'
_symmetry_Int_Tables_number 11
loop_
_symmetry_equiv_pos_as_xyz
'x,y,z'
'-x,-y,-z'
'-x,y+1/2,-z'
'x,-y+1/2,z'
loop_
_atom_site_label
_atom_site_type_symbol
_atom_site_fract_x
_atom_site_fract_y
_atom_site_fract_z
Sr1 Sr 0.208 0.250 0.390
Sr2 Sr 0.222 0.250 0.967
Be1 Be 0.452 0.750 0.243
As1 As 0.341 0.750 0.710
O1 O 0.193 0.750 0.171
```

5.
The following is a GGA-PBE calculation of crystalline SrPr6Nd12 at its relaxed geometry, from Alexandria via LeMat-Bulk.

Values from the calculation:
* DFT formation energy: 0.19 eV/atom
* mass density: 6.18 Mg/m³

Cell and atoms, written as CIF:
```
data_SrPr6Nd12
_cell_length_a 13.8067
_cell_length_b 13.8067
_cell_length_c 13.0095
_cell_angle_alpha 90.00
_cell_angle_beta 90.00
_cell_angle_gamma 120.00
_symmetry_space_group_name_H-M 'R -3 m'
_symmetry_Int_Tables_number 166
_symmetry_space_group_name_Hall '-R 3 2"'
loop_
_atom_site_label
_atom_site_type_symbol
_atom_site_fract_x
_atom_site_fract_y
_atom_site_fract_z
Sr1 Sr 0.0000 0.0000 0.0000
Pr1 Pr 0.0357 0.5178 0.6174
Nd1 Nd 0.0000 0.2609 0.5000
Nd2 Nd 0.0918 0.1837 0.2673
```

6.
The following is a GGA-PBE calculation of crystalline ScSi2HgS at its relaxed geometry, from Alexandria via LeMat-Bulk.

Values from the calculation:
* uncorrected formation energy: 0.202 eV/atom
* mass density: 5.19 Mg/m³
* polymorph energy (0 for the lowest one): 0 meV/atom

Cell and atoms, written as CIF:
```
data_ScSi2HgS
_cell_length_a 4.733
_cell_length_b 4.733
_cell_length_c 4.771
_cell_angle_alpha 90.00
_cell_angle_beta 90.00
_cell_angle_gamma 90.00
_symmetry_space_group_name_H-M 'P 4/m m m'
_symmetry_Int_Tables_number 123
_symmetry_space_group_name_Hall '-P 4 2'
loop_
_atom_site_label
_atom_site_type_symbol
_atom_site_fract_x
_atom_site_fract_y
_atom_site_fract_z
Sc1 Sc 0.000 0.000 0.000
Si1 Si 0.000 0.500 0.500
Hg1 Hg 0.500 0.500 0.000
S1 S 0.000 0.000 0.500
```

7.
The following is a GGA-PBE calculation of crystalline Ge2Ru at its relaxed geometry, from Alexandria via LeMat-Bulk.

Values from the calculation:
* DFT formation energy: -0.17 eV/atom
* mass density: 8.31 Mg/m³

Cell and atoms, written as CIF:
```
data_Ge2Ru
_cell_length_a 3.000
_cell_length_b 11.861
_cell_length_c 5.537
_cell_angle_alpha 90.00
_cell_angle_beta 90.00
_cell_angle_gamma 90.00
_symmetry_space_group_name_H-M 'C m c 21'
_symmetry_Int_Tables_number 36
loop_
_symmetry_equiv_pos_as_xyz
'x,y,z'
'-x,-y,z+1/2'
'-x,y,z'
'x,-y,z+1/2'
'x+1/2,y+1/2,z'
'-x+1/2,-y+1/2,z+1/2'
'-x+1/2,y+1/2,z'
'x+1/2,-y+1/2,z+1/2'
loop_
_atom_site_label
_atom_site_type_symbol
_atom_site_fract_x
_atom_site_fract_y
_atom_site_fract_z
Ge1 Ge 0.000 0.064 0.000
Ge2 Ge 0.000 0.206 0.666
Ru1 Ru 0.000 0.398 0.865
```

8.
The following is a GGA-PBE calculation of crystalline Ca2HoPaSb4 at its relaxed geometry, from Alexandria via LeMat-Bulk.

Values from the calculation:
* uncorrected formation energy: -0.895 eV/atom
* mass density: 6.40 Mg/m³

Cell and atoms, written as CIF:
```
data_Ca2HoPaSb4
_cell_length_a 7.651
_cell_length_b 4.470
_cell_length_c 7.746
_cell_angle_alpha 90.00
_cell_angle_beta 109.27
_cell_angle_gamma 90.00
_symmetry_space_group_name_H-M 'P 1 2/m 1'
_symmetry_Int_Tables_number 10
loop_
_symmetry_equiv_pos_as_xyz
'x,y,z'
'-x,-y,-z'
'-x,y,-z'
'x,-y,z'
loop_
_atom_site_label
_atom_site_type_symbol
_atom_site_fract_x
_atom_site_fract_y
_atom_site_fract_z
Ca1 Ca 0.000 0.000 0.000
Ca2 Ca 0.500 0.500 0.000
Ho1 Ho 0.000 0.500 0.500
Pa1 Pa 0.500 0.000 0.500
Sb1 Sb 0.250 0.000 0.735
Sb2 Sb 0.259 0.500 0.266
```

9.
The following is a GGA-PBE calculation of crystalline Pm8Ge3HSe4 at its relaxed geometry, from Alexandria via LeMat-Bulk.

Values from the calculation:
* mass density: 6.71 Mg/m³

Cell and atoms, written as CIF:
```
data_Pm8Ge3HSe4
_cell_length_a 8.3839
_cell_length_b 8.3839
_cell_length_c 20.6757
_cell_angle_alpha 90.00
_cell_angle_beta 90.00
_cell_angle_gamma 120.00
_symmetry_space_group_name_H-M 'R -3 m'
_symmetry_Int_Tables_number 166
_symmetry_space_group_name_Hall '-R 3 2"'
loop_
_atom_site_label
_atom_site_type_symbol
_atom_site_fract_x
_atom_site_fract_y
_atom_site_fract_z
Pm1 Pm 0.0000 0.0000 0.2473
Pm2 Pm 0.0050 0.5025 0.7524
Ge1 Ge 0.0000 0.5000 0.5000
H1 H 0.0000 0.0000 0.5000
Se1 Se 0.0000 0.0000 0.0000
Se2 Se 0.0000 0.5000 0.0000
```

10.
The following is a GGA-PBE calculation of crystalline NiSb2Cl at its relaxed geometry, from Alexandria via LeMat-Bulk.

Values from the calculation:
* uncorrected formation energy: -0.085 eV/atom
* mass density: 6.32 Mg/m³
* polymorph energy (0 for the lowest one): 217 meV/atom

Cell and atoms, written as CIF:
```
data_NiSb2Cl
_cell_length_a 5.334
_cell_length_b 3.460
_cell_length_c 5.497
_cell_angle_alpha 90.00
_cell_angle_beta 118.95
_cell_angle_gamma 90.00
_symmetry_space_group_name_H-M 'P 1 m 1'
_symmetry_Int_Tables_number 6
loop_
_symmetry_equiv_pos_as_xyz
'x,y,z'
'x,-y,z'
loop_
_atom_site_label
_atom_site_type_symbol
_atom_site_fract_x
_atom_site_fract_y
_atom_site_fract_z
Ni1 Ni 0.000 0.000 0.000
Sb1 Sb 0.190 0.500 0.376
Sb2 Sb 0.479 0.000 0.957
Cl1 Cl 0.821 0.500 0.639
```

11.
The following is a GGA-PBE calculation of crystalline NaTbCl4 at its relaxed geometry, from Alexandria via LeMat-Bulk.

Values from the calculation:
* uncorrected formation energy: -2.112 eV/atom
* mass density: 2.79 Mg/m³
* polymorph energy (0 for the lowest one): 10 meV/atom

Cell and atoms, written as CIF:
```
data_NaTbCl4
_cell_length_a 6.505
_cell_length_b 4.078
_cell_length_c 7.291
_cell_angle_alpha 90.00
_cell_angle_beta 93.96
_cell_angle_gamma 90.00
_symmetry_space_group_name_H-M 'P 1 2/m 1'
_symmetry_Int_Tables_number 10
loop_
_symmetry_equiv_pos_as_xyz
'x,y,z'
'-x,-y,-z'
'-x,y,-z'
'x,-y,z'
loop_
_atom_site_label
_atom_site_type_symbol
_atom_site_fract_x
_atom_site_fract_y
_atom_site_fract_z
Na1 Na 0.000 0.000 0.000
Tb1 Tb 0.000 0.500 0.500
Cl1 Cl 0.202 0.500 0.202
Cl2 Cl 0.230 0.000 0.650
```

What E values result from the calculations? In sequence: -0.57684; -0.28701; -0.40443; -0.35638; -0.32492; -0.30279; -0.46590; -0.38338; -0.41395; -0.29789; -0.31856 Ry per atom.